Record 1
# Y2GaAg2, optimized geometry, DFT PBE
data_Y2GaAg2
_chemical_formula_sum 'Y2 Ga1 Ag2'
_cell_length_a 8.504
_cell_length_b 8.504
_cell_length_c 8.504
_cell_angle_alpha 154.06
_cell_angle_beta 154.06
_cell_angle_gamma 37.02
_space_group_name_H-M_alt 'P 1'
_space_group_IT_number 1
_space_group_name_Hall 'P 1'
loop_
_atom_site_label
_atom_site_type_symbol
_atom_site_fract_x
_atom_site_fract_y
_atom_site_fract_z
Y1 Y 0.100 0.100 0.000
Y2 Y 0.900 0.900 0.000
Ga1 Ga 0.500 0.500 0.000
Ag1 Ag 0.250 0.750 0.500
Ag2 Ag 0.750 0.250 0.500
# Energy above the most stable polymorph in this dataset in eV/atom: 0.000
# Theoretical density in kg/m3: 6545

---

Record 2
# Cu2GeAs, optimized geometry, DFT PBE
data_Cu2GeAs
_chemical_formula_sum 'Cu8 Ge4 As4'
_cell_length_a 6.282
_cell_length_b 6.282
_cell_length_c 6.282
_cell_angle_alpha 90.00
_cell_angle_beta 90.00
_cell_angle_gamma 90.00
_space_group_name_H-M_alt 'P 1'
_space_group_IT_number 1
_space_group_name_Hall 'P 1'
loop_
_atom_site_label
_atom_site_type_symbol
_atom_site_fract_x
_atom_site_fract_y
_atom_site_fract_z
Cu1 Cu 0.250 0.250 0.250
Cu2 Cu 0.250 0.250 0.750
Cu3 Cu 0.250 0.750 0.250
Cu4 Cu 0.250 0.750 0.750
Cu5 Cu 0.750 0.250 0.250
Cu6 Cu 0.750 0.250 0.750
Cu7 Cu 0.750 0.750 0.250
Cu8 Cu 0.750 0.750 0.750
Ge1 Ge 0.000 0.000 0.000
Ge2 Ge 0.000 0.000 0.500
Ge3 Ge 0.000 0.500 0.000
Ge4 Ge 0.500 0.000 0.000
As1 As 0.000 0.500 0.500
As2 As 0.500 0.000 0.500
As3 As 0.500 0.500 0.000
As4 As 0.500 0.500 0.500
# Theoretical density in kg/m3: 7357
# Calculated total energy in eV/atom: -3.9439

---

Record 3
# ZnFeAsOs, optimized geometry, DFT PBE
data_ZnFeAsOs
_chemical_formula_sum 'Zn1 Fe1 As1 Os1'
_cell_length_a 4.327
_cell_length_b 4.327
_cell_length_c 4.327
_cell_angle_alpha 60.00
_cell_angle_beta 60.00
_cell_angle_gamma 60.00
_space_group_name_H-M_alt 'P 1'
_space_group_IT_number 1
_space_group_name_Hall 'P 1'
loop_
_atom_site_label
_atom_site_type_symbol
_atom_site_fract_x
_atom_site_fract_y
_atom_site_fract_z
Zn1 Zn 0.000 0.000 0.000
Fe1 Fe 0.500 0.500 0.500
As1 As 0.250 0.250 0.250
Os1 Os 0.750 0.750 0.750
# Energy above the most stable polymorph in this dataset in eV/atom: 0.250
# Theoretical density in kg/m3: 11197

---

Record 4
# InRe2Ni, optimized geometry, DFT PBE
data_InRe2Ni
_chemical_formula_sum 'In1 Re2 Ni1'
_cell_length_a 4.409
_cell_length_b 4.409
_cell_length_c 4.409
_cell_angle_alpha 60.00
_cell_angle_beta 60.00
_cell_angle_gamma 60.00
_space_group_name_H-M_alt 'P 1'
_space_group_IT_number 1
_space_group_name_Hall 'P 1'
loop_
_atom_site_label
_atom_site_type_symbol
_atom_site_fract_x
_atom_site_fract_y
_atom_site_fract_z
In1 In 0.000 0.000 0.000
Re1 Re 0.500 0.500 0.500
Re2 Re 0.750 0.750 0.750
Ni1 Ni 0.250 0.250 0.250
# Theoretical density in kg/m3: 14956
# Calculated total energy in eV/atom: -7.8751